# 1
VASP calculation (GGA-PBE) on an optimized crystal structure of Na3Tl3GeI8.

Unit cell a=9.3910 b=9.3910 c=9.7570 alpha=118.79 beta=118.79 gamma=59.95
With the nearest neighbours (Å) after each atom.
Fractional positions:
Na 0.0000 0.0000 0.0000  6 I 3.26-3.27
Na 0.0000 0.5000 0.0000  6 I 3.25-3.27
Na 0.5000 0.0000 0.0000  6 I 3.25-3.27
Tl 0.0000 0.5000 0.5000  6 I 3.52-3.53
Tl 0.5000 0.0000 0.5000  6 I 3.52-3.53
Tl 0.5000 0.5000 0.5000  6 I 3.52-3.53
Ge 0.5000 0.5000 0.0000  6 I 3.08
I 0.2410 0.2410 0.2224  3 Na 3.25-3.26, 3 Tl 3.52
I 0.2557 0.7278 0.2109  1 Ge 3.08, 2 Na 3.27
I 0.2725 0.2725 0.7890  1 Ge 3.08, 2 Na 3.27
I 0.2722 0.7443 0.7891  1 Ge 3.08, 2 Na 3.27
I 0.7278 0.2557 0.2109  1 Ge 3.08, 2 Na 3.27
I 0.7275 0.7275 0.2110  1 Ge 3.08, 2 Na 3.27
I 0.7443 0.2722 0.7891  1 Ge 3.08, 2 Na 3.27
I 0.7590 0.7590 0.7776  3 Na 3.25-3.26, 3 Tl 3.52

- Space group: C2/m (12)
- Total moment: 0.00 μB per formula unit
- Raw formation energy: -0.82 eV/atom

# 2
VASP calculation (GGA-PBE) on an optimized crystal structure of Nb3GeI.

Unit cell a=4.8824 b=4.8824 c=4.8824 alpha=90.00 beta=90.00 gamma=90.00
With the nearest neighbours (Å) after each atom.
Fractional positions:
Nb 0.0000 0.0000 0.5000  2 Ge 2.44
Nb 0.0000 0.5000 0.0000  2 Ge 2.44
Nb 0.5000 0.0000 0.0000  2 Ge 2.44
Ge 0.0000 0.0000 0.0000  6 Nb 2.44
I 0.5000 0.5000 0.5000  12 Nb 3.45

- Energy relative to the lowest polymorph listed for this composition: 0 meV/atom
- Space group: Pm-3m (221)
- Total moment: 0.00 μB per formula unit
- Raw formation energy: 1.11 eV/atom

# 3
VASP calculation (GGA-PBE) on an optimized crystal structure of NbGeI4.

Unit cell a=9.4005 b=9.4005 c=6.1300 alpha=91.05 beta=91.05 gamma=70.31
With the nearest neighbours (Å) after each atom.
Fractional positions:
Nb 0.0657 0.9343 0.7500  4 I 2.73-2.82
Nb 0.9343 0.0657 0.2500  4 I 2.73-2.82
Ge 0.4739 0.5261 0.7500  2 I 2.77
Ge 0.5261 0.4739 0.2500  2 I 2.77
I 0.0174 0.2193 0.9102  2 Nb 2.73-2.82
I 0.1791 0.5977 0.5989  1 Ge 2.77
I 0.2193 0.0174 0.4102  2 Nb 2.73-2.82
I 0.4023 0.8209 0.9011  1 Ge 2.77
I 0.5977 0.1791 0.0989  1 Ge 2.77
I 0.7807 0.9826 0.5898  2 Nb 2.73-2.82
I 0.8209 0.4023 0.4011  1 Ge 2.77
I 0.9826 0.7807 0.0898  2 Nb 2.73-2.82

- Space group: C2/c (15)
- Total moment: 0.49 μB per formula unit
- Raw formation energy: -0.19 eV/atom

- The highest total moment belongs to which entry?
  NbGeI4